Material: SrAlAg2F8
Method: DFT, PBE
State: relaxed

Summary:
For the total magnetization, the calculation gives 0.0885 μB per atom. The value obtained for the raw formation energy is -2.585 eV per atom. As for the volume: 15.09 Å³/atom.

a = 4.864 Å, b = 5.363 Å, c = 6.958 Å
α = 87.19°, β = 89.34°, γ = 92.80°
Site moments in Bohr magnetons follow the coordinates.
Atoms (fractional coordinates):
Sr 0.000 0.000 0.500  0.00
Al 0.000 0.000 0.000  0.00
Ag 0.471 0.488 0.768  0.34
Ag 0.529 0.512 0.232  0.34
F 0.135 0.805 0.199  0.01
F 0.694 0.778 0.997  0.06
F 0.847 0.180 0.187  0.01
F 0.865 0.195 0.801  0.01
F 0.306 0.222 0.003  0.06
F 0.153 0.820 0.813  0.01
F 0.587 0.732 0.511  0.11
F 0.413 0.268 0.489  0.11

Material: SrAlAg2F6
Method: DFT, PBE
State: relaxed

Summary:
For the total magnetization, the calculation gives 0.0000 μB per atom. The value obtained for the raw formation energy is -2.550 eV per atom. As for the volume: 14.81 Å³/atom.

a = 6.449 Å, b = 5.803 Å, c = 7.932 Å
α = 90.00°, β = 86.28°, γ = 90.00°
Atoms (fractional coordinates):
Sr 0.500 0.000 0.000
Sr 0.000 0.500 0.500
Al 0.500 0.000 0.500
Al 0.000 0.500 0.000
Ag 0.011 0.000 0.306
Ag 0.511 0.500 0.806
Ag 0.989 0.000 0.694
Ag 0.489 0.500 0.194
F 0.181 0.731 0.062
F 0.681 0.769 0.562
F 0.819 0.269 0.938
F 0.319 0.231 0.438
F 0.319 0.768 0.441
F 0.819 0.732 0.941
F 0.681 0.232 0.559
F 0.181 0.268 0.059
F 0.884 0.497 0.217
F 0.384 0.003 0.717
F 0.116 0.503 0.783
F 0.616 0.997 0.283

Material: AlTlAgF6
Method: DFT, PBE
State: relaxed

Summary:
For the total magnetization, the calculation gives 0.0000 μB per atom. The value obtained for the raw formation energy is -2.332 eV per atom. As for the volume: 15.08 Å³/atom.

a = 5.850 Å, b = 5.850 Å, c = 9.158 Å
α = 90.00°, β = 90.00°, γ = 120.00°
Atoms (fractional coordinates):
Al 0.667 0.333 0.250
Al 0.333 0.667 0.750
Tl 0.333 0.667 0.250
Tl 0.667 0.333 0.750
Ag 0.000 0.000 0.000
Ag 0.000 0.000 0.500
F 0.668 0.594 0.136
F 0.925 0.332 0.136
F 0.332 0.925 0.636
F 0.075 0.668 0.864
F 0.406 0.332 0.364
F 0.925 0.594 0.364
F 0.594 0.925 0.864
F 0.668 0.075 0.364
F 0.075 0.406 0.636
F 0.406 0.075 0.136
F 0.594 0.668 0.636
F 0.332 0.406 0.864

Material: AlZnAg2F6
Method: DFT, PBE
State: relaxed

Summary:
For the total magnetization, the calculation gives 0.0000 μB per atom. The value obtained for the raw formation energy is -2.059 eV per atom. As for the volume: 12.94 Å³/atom.

a = 5.675 Å, b = 5.671 Å, c = 8.045 Å
α = 90.00°, β = 89.86°, γ = 90.00°
Atoms (fractional coordinates):
Al 0.500 0.000 0.500
Al 0.000 0.500 0.000
Zn 0.500 0.000 0.000
Zn 0.000 0.500 0.500
Ag 0.001 0.000 0.250
Ag 0.501 0.500 0.750
Ag 0.999 0.000 0.750
Ag 0.499 0.500 0.250
F 0.232 0.731 0.006
F 0.732 0.769 0.506
F 0.768 0.269 0.994
F 0.268 0.231 0.494
F 0.269 0.768 0.495
F 0.769 0.732 0.995
F 0.731 0.232 0.505
F 0.231 0.268 0.005
F 0.988 0.500 0.231
F 0.488 0.000 0.731
F 0.012 0.500 0.769
F 0.512 0.000 0.269

Material: AlZnAg2F
Method: DFT, PBE
State: relaxed

Summary:
For the total magnetization, the calculation gives 0.0000 μB per atom. The value obtained for the raw formation energy is 0.216 eV per atom. As for the volume: 23.65 Å³/atom.

a = 4.914 Å, b = 4.898 Å, c = 4.914 Å
α = 90.00°, β = 90.00°, γ = 90.00°
Atoms (fractional coordinates):
Zn 0.000 0.500 0.000
Al 0.000 0.000 0.000
Ag 0.000 0.000 0.500
Ag 0.500 0.000 0.000
F 0.500 0.500 0.500

Material: AlFe2Ag
Method: DFT, PBE
State: relaxed

Summary:
As for the energy of formation from the pure elements: 0.007 eV per atom. For the total magnetization, the calculation gives 1.1269 μB per atom. As for the volume: 13.89 Å³/atom.

a = 2.944 Å, b = 2.944 Å, c = 6.411 Å
α = 90.00°, β = 90.00°, γ = 90.00°
Site moments in Bohr magnetons follow the coordinates.
Atoms (fractional coordinates):
Fe 0.000 0.000 0.011  1.86
Fe 0.500 0.500 0.205  2.72
Ag 0.000 0.000 0.498  -0.01
Al 0.500 0.500 0.786  -0.03

Material: Al2FeAg
Method: DFT, PBE
State: relaxed

Summary:
As for the energy of formation from the pure elements: -0.081 eV per atom. For the total magnetization, the calculation gives 0.4594 μB per atom. As for the volume: 14.47 Å³/atom.

a = 4.487 Å, b = 4.487 Å, c = 2.900 Å
α = 90.00°, β = 90.00°, γ = 97.49°
Site moments in Bohr magnetons follow the coordinates.
Atoms (fractional coordinates):
Fe 0.500 0.000 0.500  1.97
Ag 0.000 0.500 0.500  0.00
Al 0.000 0.000 0.000  -0.03
Al 0.500 0.500 0.000  -0.03

Material: Al8Fe2Ag
Method: DFT, PBE
State: relaxed

Summary:
As for the energy of formation from the pure elements: -0.113 eV per atom. For the total magnetization, the calculation gives 0.0000 μB per atom. As for the volume: 14.95 Å³/atom.

a = 4.602 Å, b = 5.207 Å, c = 7.354 Å
α = 108.21°, β = 99.20°, γ = 92.40°
Atoms (fractional coordinates):
Al 0.823 0.317 0.844
Al 0.891 0.950 0.509
Al 0.294 0.367 0.302
Al 0.693 0.046 0.124
Al 0.318 0.868 0.310
Al 0.859 0.449 0.515
Al 0.374 0.489 0.973
Al 0.480 0.793 0.694
Fe 0.829 0.567 0.205
Fe 0.356 0.263 0.614
Ag 0.082 0.890 0.911